DFT (PBEsol) results for an optimized crystal structure of TlP2IO.

POSCAR file:
```
TlP2IO
1.0
-3.9818 -0.2392 1.0443
1.0539 -1.5972 3.6525
0.3045 5.9989 2.5353
P Tl I O
2 1 1 1
direct
0.0000 0.5000 0.0000 P
0.5000 0.0000 0.0000 P
0.5000 0.5000 0.5000 Tl
0.0000 0.0000 0.5000 I
0.0000 0.0000 0.0000 O
```

Computed properties:
The space group is P4/mmm (123). The energy above the most stable polymorph in this dataset is 0.0 meV/atom. For the electronic total energy, the calculation gives -3.806 eV per atom. The total magnetic moment comes out at 0.001 μB/f.u. For the formation energy from raw total energies, the calculation gives 0.44 eV/atom.

---

DFT (PBEsol) results for an optimized crystal structure of TlP2IO.

POSCAR file:
```
TlP2IO
1.0
4.1180 0.0000 0.0000
0.0000 5.1621 0.0000
0.0000 0.0000 5.1621
P O Tl I
2 1 1 1
direct
0.0000 0.0000 0.5000 P
0.0000 0.5000 0.0000 P
0.5000 0.0000 0.0000 O
0.0000 0.0000 0.0000 Tl
0.5000 0.5000 0.5000 I
```

Computed properties:
The space group is P4/mmm (123). The energy above the most stable polymorph in this dataset is 455.5 meV/atom. For the electronic total energy, the calculation gives -3.350 eV per atom. The total magnetic moment comes out at 0.340 μB/f.u. For the formation energy from raw total energies, the calculation gives 0.90 eV/atom.

---

DFT (PBEsol) results for an optimized crystal structure of PWI2O.

POSCAR file:
```
PWI2O
1.0
3.3873 0.0000 0.0000
0.0000 5.3513 0.0000
0.0000 0.0000 5.3513
O P W I
1 1 1 2
direct
0.5000 0.0000 0.0000 O
0.0000 0.0000 0.0000 P
0.5000 0.5000 0.5000 W
0.0000 0.5000 0.0000 I
0.0000 0.0000 0.5000 I
```

Computed properties:
The space group is P4/mmm (123). For the electronic total energy, the calculation gives -4.925 eV per atom. The total magnetic moment comes out at 2.147 μB/f.u. For the formation energy from raw total energies, the calculation gives 0.75 eV/atom.

---

DFT (PBEsol) results for an optimized crystal structure of P2WIO.

POSCAR file:
```
P2WIO
1.0
3.8112 0.0000 0.0000
0.0000 4.8638 0.0000
0.0000 0.0000 4.8638
P O I W
2 1 1 1
direct
0.0000 0.5000 0.0000 P
0.0000 0.0000 0.5000 P
0.5000 0.0000 0.0000 O
0.5000 0.5000 0.5000 I
0.0000 0.0000 0.0000 W
```

Computed properties:
The space group is P4/mmm (123). The energy above the most stable polymorph in this dataset is 0.0 meV/atom. For the electronic total energy, the calculation gives -6.673 eV per atom. The total magnetic moment comes out at 0.000 μB/f.u. For the formation energy from raw total energies, the calculation gives -0.19 eV/atom.

---

DFT (PBEsol) results for an optimized crystal structure of P2WIO.

POSCAR file:
```
P2WIO
1.0
3.7696 0.0000 0.0000
0.0000 4.9796 0.0000
0.0000 0.0000 4.9796
P O I W
2 1 1 1
direct
0.0000 0.5000 0.0000 P
0.0000 0.0000 0.5000 P
0.5000 0.0000 0.0000 O
0.0000 0.0000 0.0000 I
0.5000 0.5000 0.5000 W
```

Computed properties:
The space group is P4/mmm (123). The energy above the most stable polymorph in this dataset is 1703.3 meV/atom. For the electronic total energy, the calculation gives -4.970 eV per atom. The total magnetic moment comes out at 2.553 μB/f.u. For the formation energy from raw total energies, the calculation gives 1.51 eV/atom.

---

DFT (PBEsol) results for an optimized crystal structure of Pb3I2O2.

POSCAR file:
```
Pb3I2O2
1.0
5.9266 0.0000 0.0000
0.0000 7.4524 0.0000
0.0000 0.0000 17.7828
Pb O I
12 8 8
direct
0.7500 0.8481 0.9719 Pb
0.2500 0.7936 0.6074 Pb
0.7500 0.0273 0.1615 Pb
0.2500 0.3481 0.5281 Pb
0.2500 0.5273 0.3385 Pb
0.7500 0.2064 0.3926 Pb
0.7500 0.6519 0.4719 Pb
0.2500 0.1519 0.0281 Pb
0.2500 0.7064 0.1074 Pb
0.7500 0.4727 0.6615 Pb
0.7500 0.2936 0.8926 Pb
0.2500 0.9727 0.8385 Pb
0.5002 0.5823 0.5746 O
0.4998 0.4177 0.4254 O
0.0002 0.4177 0.4254 O
0.4998 0.0823 0.9254 O
0.9998 0.9177 0.0746 O
0.5002 0.9177 0.0746 O
0.0002 0.0823 0.9254 O
0.9998 0.5823 0.5746 O
0.7500 0.6710 0.2594 I
0.2500 0.9098 0.4349 I
0.2500 0.3290 0.7406 I
0.7500 0.8290 0.7594 I
0.2500 0.5902 0.9349 I
0.7500 0.4098 0.0651 I
0.2500 0.1710 0.2406 I
0.7500 0.0902 0.5651 I
```

Computed properties:
The space group is Pnma (62). For the electronic total energy, the calculation gives -4.654 eV per atom. The total magnetic moment comes out at 0.000 μB/f.u. For the formation energy from raw total energies, the calculation gives -0.94 eV/atom.